Here is a geometry-optimized Pa2Co2Cu structure from the Alexandria database. Energies are from PBE-GGA.

calculated volume	17.4	Å³ per atom
D(E_F)	5.00	states/eV/f.u.
formation enthalpy at 0 K	-0.302	eV/atom
DFT total energy	-77.6	eV per cell

Lattice parameters (Å, degrees): 3.4551 7.1011 7.1011 90.00 90.00 90.00
Last column: nearest neighbours and their distance in Å.
Fractional coordinates of all 10 atoms:
Pa1 0.0000 0.6744 0.3256  6 Co 2.59-2.80
Pa2 0.0000 0.8256 0.8256  6 Co 2.59-2.80
Pa3 0.0000 0.1744 0.1744  6 Co 2.59-2.80
Pa4 0.0000 0.3256 0.6744  6 Co 2.59-2.80
Co1 0.5000 0.3670 0.3670  6 Pa 2.59-2.80, 1 Co 2.67, 2 Cu 2.77
Co2 0.5000 0.8670 0.1330  6 Pa 2.59-2.80, 1 Co 2.67, 2 Cu 2.77
Co3 0.5000 0.1330 0.8670  6 Pa 2.59-2.80, 1 Co 2.67, 2 Cu 2.77
Co4 0.5000 0.6330 0.6330  6 Pa 2.59-2.80, 1 Co 2.67, 2 Cu 2.77
Cu1 0.5000 0.5000 0.0000  4 Co 2.77
Cu2 0.5000 0.0000 0.5000  4 Co 2.77

=====

Here is a geometry-optimized VFe2Si structure from the Alexandria database. Energies are from PBE-GGA.

raw formation energy	0.30	eV per atom
calculated volume	12.8	Å³ per atom
D(E_F)	5.21	states/eV/f.u.
DFT total energy	-60.5	eV per cell

Lattice parameters (Å, degrees): 6.3733 6.3733 5.1672 51.92 51.92 90.00
Last column: nearest neighbours and their distance in Å.
Fractional coordinates of all 8 atoms:
Si1 0.5000 0.5000 0.0000  4 Fe 2.34, 2 V 2.53
Si2 0.2500 0.7500 0.5000  4 Fe 2.34, 2 V 2.53
Fe1 0.6241 0.1250 0.2500  2 Si 2.34, 2 V 2.34, 2 Fe 2.53
Fe2 0.1259 0.6250 0.2500  2 Si 2.34, 2 V 2.34, 2 Fe 2.53
Fe3 0.3750 0.3759 0.7500  2 Si 2.34, 2 V 2.34, 2 Fe 2.53
Fe4 0.8750 0.8741 0.7500  2 Si 2.34, 2 V 2.34, 2 Fe 2.53
V1 0.0000 0.0000 0.0000  4 Fe 2.34, 2 Si 2.53
V2 0.7500 0.2500 0.5000  4 Fe 2.34, 2 Si 2.53

=====

Which of these has the highest calculated volume?
Pa2Co2Cu

=====

The lowest DFT total energy belongs to which entry?
Pa2Co2Cu

=====

Among the records above, which one has the highest D(E_F)?
VFe2Si

=====

Which of these has the lowest DFT total energy?
Pa2Co2Cu